# 1
# Tm2Si2IrRh5 | Alexandria via LeMat-Bulk | PBE | optimized geometry
data_Tm2Si2IrRh5
_chemical_formula_sum 'Tm4 Si4 Ir2 Rh10'
_symmetry_space_group_name_H-M 'P 1'
_symmetry_Int_Tables_number 1
_cell_length_a 3.561
_cell_length_b 9.501
_cell_length_c 9.501
_cell_angle_alpha 90.00
_cell_angle_beta 90.00
_cell_angle_gamma 90.00
loop_
_symmetry_equiv_pos_as_xyz
'x,y,z'
loop_
_atom_site_label
_atom_site_type_symbol
_atom_site_fract_x
_atom_site_fract_y
_atom_site_fract_z
Rh1 Rh 0.500 0.500 0.000
Rh2 Rh 0.500 0.430 0.288
Rh3 Rh 0.500 0.570 0.712
Rh4 Rh 0.500 0.070 0.788
Rh5 Rh 0.500 0.000 0.500
Rh6 Rh 0.500 0.212 0.070
Rh7 Rh 0.500 0.712 0.430
Rh8 Rh 0.500 0.288 0.570
Rh9 Rh 0.500 0.788 0.930
Rh10 Rh 0.500 0.930 0.212
Tm1 Tm 0.000 0.823 0.677
Tm2 Tm 0.000 0.177 0.323
Tm3 Tm 0.000 0.677 0.177
Tm4 Tm 0.000 0.323 0.823
Ir1 Ir 0.000 0.000 0.000
Ir2 Ir 0.000 0.500 0.500
Si1 Si 0.000 0.123 0.623
Si2 Si 0.000 0.877 0.377
Si3 Si 0.000 0.377 0.123
Si4 Si 0.000 0.623 0.877
# * symmetry: P4/mbm
# * formation energy (no corrections): -755 meV per atom
# * crystal system: tetragonal

# 2
# Sc2InTc | Alexandria via LeMat-Bulk | PBE | optimized geometry
data_Sc2InTc
_chemical_formula_sum 'Sc2 In1 Tc1'
_symmetry_space_group_name_H-M 'P 1'
_symmetry_Int_Tables_number 1
_cell_length_a 3.399
_cell_length_b 3.376
_cell_length_c 7.675
_cell_angle_alpha 63.82
_cell_angle_beta 90.00
_cell_angle_gamma 90.00
loop_
_symmetry_equiv_pos_as_xyz
'x,y,z'
loop_
_atom_site_label
_atom_site_type_symbol
_atom_site_fract_x
_atom_site_fract_y
_atom_site_fract_z
Tc1 Tc 0.500 0.250 0.250
In1 In 0.500 0.750 0.750
Sc1 Sc 0.000 0.964 0.036
Sc2 Sc 0.000 0.536 0.464
# * symmetry: P2/m
# * crystal system: monoclinic

# 3
# ThZn4Ag | Alexandria via LeMat-Bulk | PBE | optimized geometry
data_ThZn4Ag
_chemical_formula_sum 'Th2 Zn8 Ag2'
_symmetry_space_group_name_H-M 'P 1'
_symmetry_Int_Tables_number 1
_cell_length_a 4.387
_cell_length_b 6.530
_cell_length_c 8.329
_cell_angle_alpha 90.00
_cell_angle_beta 105.27
_cell_angle_gamma 90.00
loop_
_symmetry_equiv_pos_as_xyz
'x,y,z'
loop_
_atom_site_label
_atom_site_type_symbol
_atom_site_fract_x
_atom_site_fract_y
_atom_site_fract_z
Zn1 Zn 0.336 0.441 0.672
Zn2 Zn 0.500 0.500 0.000
Zn3 Zn 0.336 0.059 0.672
Zn4 Zn 0.664 0.941 0.328
Zn5 Zn 0.934 0.250 0.867
Zn6 Zn 0.664 0.559 0.328
Zn7 Zn 0.500 0.000 0.000
Zn8 Zn 0.066 0.750 0.133
Ag1 Ag 0.229 0.750 0.457
Ag2 Ag 0.771 0.250 0.543
Th1 Th 0.878 0.750 0.755
Th2 Th 0.122 0.250 0.245
# * symmetry: Cmcm
# * crystal system: orthorhombic

no.,ρ (g cm⁻³),total energy (eV per atom)
1,11.373,-7.296
2,6.360,-6.827
3,8.680,-2.704